First-principles (PBE) data for an optimized crystal structure of BaPaP2Rh4, as listed in Alexandria via LeMat-Bulk. Values from VASP.

Results
Space group: P4/mmm, No. 123
VASP energy, eV/atom: -7.36
Size of the total moment, μB/f.u.: 0.00
Theoretical density, Mg/m³: 8.53
Crystal system: tetragonal
Formation enthalpy at 0 K, eV per atom: -0.90
D(E_F), states/eV/f.u.: 3.468

```
&SYSTEM
  ibrav = 0, nat = 8, ntyp = 4
/
ATOMIC_SPECIES
Ba 137.33 Ba.upf
Pa 231.04 Pa.upf
P 30.97 P.upf
Rh 102.91 Rh.upf
CELL_PARAMETERS angstrom
4.027 0.000 0.000
0.000 4.027 0.000
0.000 0.000 10.105
ATOMIC_POSITIONS crystal
Ba 0.000 0.000 0.000
Pa 0.000 0.000 0.500
P 0.500 0.500 0.190
P 0.500 0.500 0.810
Rh 0.000 0.500 0.306
Rh 0.000 0.500 0.694
Rh 0.500 0.000 0.306
Rh 0.500 0.000 0.694
```



First-principles (PBE) data for an optimized crystal structure of Hf2P2O9, as listed in Alexandria via LeMat-Bulk. Values from VASP.

Results
Energy above the lowest structure with this stoichiometry, meV/atom: 8.0
Space group: Cmce, No. 64
ΔE_f (raw), eV/atom: -2.91
VASP energy, eV/atom: -8.70
Size of the total moment, μB/f.u.: 0.00
Theoretical density, Mg/m³: 5.41
Crystal system: orthorhombic
D(E_F), states/eV/f.u.: 0.000

```
&SYSTEM
  ibrav = 0, nat = 26, ntyp = 3
/
ATOMIC_SPECIES
Hf 178.49 Hf.upf
P 30.97 P.upf
O 16.00 O.upf
CELL_PARAMETERS angstrom
3.327 -4.351 0.000
3.327 4.351 0.000
0.000 0.000 11.926
ATOMIC_POSITIONS crystal
Hf 0.206 0.794 0.938
Hf 0.294 0.706 0.438
Hf 0.706 0.294 0.562
Hf 0.794 0.206 0.062
P 0.106 0.894 0.647
P 0.394 0.606 0.147
P 0.606 0.394 0.853
P 0.894 0.106 0.353
O 0.000 0.000 0.000
O 0.015 0.632 0.585
O 0.065 0.935 0.377
O 0.132 0.515 0.085
O 0.139 0.861 0.772
O 0.361 0.639 0.272
O 0.368 0.985 0.585
O 0.435 0.565 0.877
O 0.485 0.868 0.085
O 0.500 0.500 0.500
O 0.515 0.132 0.915
O 0.565 0.435 0.123
O 0.632 0.015 0.415
O 0.639 0.361 0.728
O 0.861 0.139 0.228
O 0.868 0.485 0.915
O 0.935 0.065 0.623
O 0.985 0.368 0.415
```



First-principles (PBE) data for an optimized crystal structure of ZnCu2Si, as listed in Alexandria via LeMat-Bulk. Values from VASP.

Results
Space group: Cmmm, No. 65
ΔE_f (raw), eV/atom: 0.09
VASP energy, eV/atom: -3.63
Size of the total moment, μB/f.u.: 0.00
Theoretical density, Mg/m³: 6.98
Crystal system: orthorhombic
D(E_F), states/eV/f.u.: 0.825

```
&SYSTEM
  ibrav = 0, nat = 8, ntyp = 3
/
ATOMIC_SPECIES
Zn 65.41 Zn.upf
Cu 63.55 Cu.upf
Si 28.09 Si.upf
CELL_PARAMETERS angstrom
2.908 0.000 0.000
0.000 4.389 0.000
0.000 0.000 8.223
ATOMIC_POSITIONS crystal
Zn 0.000 0.000 0.000
Zn 0.500 0.500 0.000
Cu 0.000 0.500 0.256
Cu 0.000 0.500 0.744
Cu 0.500 0.000 0.256
Cu 0.500 0.000 0.744
Si 0.000 0.000 0.500
Si 0.500 0.500 0.500
```



First-principles (PBE) data for an optimized crystal structure of LiAsPd2, as listed in Alexandria via LeMat-Bulk. Values from VASP.

Results
Space group: P2_1/m, No. 11
VASP energy, eV/atom: -4.72
Size of the total moment, μB/f.u.: 0.00
Theoretical density, Mg/m³: 7.69
Crystal system: monoclinic
Formation enthalpy at 0 K, eV per atom: -0.48
D(E_F), states/eV/f.u.: 1.292

```
&SYSTEM
  ibrav = 0, nat = 8, ntyp = 3
/
ATOMIC_SPECIES
Li 6.94 Li.upf
As 74.92 As.upf
Pd 106.42 Pd.upf
CELL_PARAMETERS angstrom
3.434 0.000 0.000
0.000 7.361 0.000
-1.707 0.000 5.033
ATOMIC_POSITIONS crystal
Li 0.033 0.250 0.066
Li 0.967 0.750 0.934
As 0.248 0.750 0.496
As 0.752 0.250 0.504
Pd 0.365 0.052 0.730
Pd 0.365 0.448 0.730
Pd 0.635 0.552 0.270
Pd 0.635 0.948 0.270
```



First-principles (PBE) data for an optimized crystal structure of ZnFe4Cu, as listed in Alexandria via LeMat-Bulk. Values from VASP.

Results
Space group: F-43m, No. 216
VASP energy, eV/atom: -6.31
Size of the total moment, μB/f.u.: 7.08
Theoretical density, Mg/m³: 7.99
Crystal system: cubic
Formation enthalpy at 0 K, eV per atom: 0.23
D(E_F), states/eV/f.u.: 3.778

```
&SYSTEM
  ibrav = 0, nat = 6, ntyp = 3
/
ATOMIC_SPECIES
Zn 65.41 Zn.upf
Fe 55.84 Fe.upf
Cu 63.55 Cu.upf
CELL_PARAMETERS angstrom
0.000 3.320 3.320
3.320 0.000 3.320
3.320 3.320 0.000
ATOMIC_POSITIONS crystal
Zn 0.000 0.000 0.000
Fe 0.125 0.625 0.625
Fe 0.625 0.125 0.625
Fe 0.625 0.625 0.125
Fe 0.625 0.625 0.625
Cu 0.250 0.250 0.250
```



First-principles (PBE) data for an optimized crystal structure of AsPRh, as listed in Alexandria via LeMat-Bulk. Values from VASP.

Results
Energy above the lowest structure with this stoichiometry, meV/atom: 409.1
Space group: Cm, No. 8
VASP energy, eV/atom: -5.96
Size of the total moment, μB/f.u.: 0.00
Theoretical density, Mg/m³: 6.38
Crystal system: monoclinic
Formation enthalpy at 0 K, eV per atom: -0.16
D(E_F), states/eV/f.u.: 1.373

```
&SYSTEM
  ibrav = 0, nat = 6, ntyp = 3
/
ATOMIC_SPECIES
As 74.92 As.upf
P 30.97 P.upf
Rh 102.91 Rh.upf
CELL_PARAMETERS angstrom
7.347 0.000 0.000
0.000 2.817 0.000
-0.217 0.000 5.250
ATOMIC_POSITIONS crystal
As 0.000 0.000 0.000
As 0.500 0.500 0.000
P 0.496 0.500 0.493
P 0.996 0.000 0.493
Rh 0.217 0.500 0.702
Rh 0.717 0.000 0.702
```